# LaTaTc2 (PBE, optimized geometry)
data_LaTaTc2
_cell_length_a 10.166
_cell_length_b 3.206
_cell_length_c 5.269
_cell_angle_alpha 90.00
_cell_angle_beta 106.13
_cell_angle_gamma 90.00
_symmetry_space_group_name_H-M 'C 1 m 1'
_symmetry_Int_Tables_number 8
_symmetry_space_group_name_Hall 'C -2y'
loop_
_atom_site_label
_atom_site_type_symbol
_atom_site_fract_x
_atom_site_fract_y
_atom_site_fract_z
_atom_site_occupancy
La1 La 0.000 0.000 0.000 1
Ta1 Ta 0.206 0.000 0.647 1
Tc1 Tc 0.274 0.500 0.327 1
Tc2 Tc 0.489 0.000 0.478 1
# electronic total energy: -9.10 eV per atom
# spin magnetization: 0.00 Bohr magnetons per cell
# density of states at the Fermi level: 5.67 states/eV per cell

---

# LaTa3Tc (PBE, optimized geometry)
data_LaTa3Tc
_cell_length_a 4.820
_cell_length_b 4.820
_cell_length_c 4.820
_cell_angle_alpha 90.00
_cell_angle_beta 90.00
_cell_angle_gamma 90.00
_symmetry_space_group_name_H-M 'P m -3 m'
_symmetry_Int_Tables_number 221
_symmetry_space_group_name_Hall '-P 4 2 3'
loop_
_atom_site_label
_atom_site_type_symbol
_atom_site_fract_x
_atom_site_fract_y
_atom_site_fract_z
_atom_site_occupancy
La1 La 0.000 0.000 0.000 1
Ta1 Ta 0.000 0.000 0.500 1
Tc1 Tc 0.500 0.500 0.500 1
# electronic total energy: -7.62 eV per atom
# spin magnetization: 0.00 Bohr magnetons per cell
# density of states at the Fermi level: 6.43 states/eV per cell

---

# LaTaTc2 (PBE, optimized geometry)
data_LaTaTc2
_cell_length_a 2.9188
_cell_length_b 2.9188
_cell_length_c 30.5636
_cell_angle_alpha 90.00
_cell_angle_beta 90.00
_cell_angle_gamma 120.00
_symmetry_space_group_name_H-M 'R 3 m'
_symmetry_Int_Tables_number 160
_symmetry_space_group_name_Hall 'R 3 -2"'
loop_
_atom_site_label
_atom_site_type_symbol
_atom_site_fract_x
_atom_site_fract_y
_atom_site_fract_z
_atom_site_occupancy
La1 La 0.0000 0.0000 0.0000 1
Ta1 Ta 0.0000 0.0000 0.2362 1
Tc1 Tc 0.0000 0.0000 0.4914 1
Tc2 Tc 0.0000 0.0000 0.7588 1
# electronic total energy: -8.86 eV per atom
# spin magnetization: 0.00 Bohr magnetons per cell
# density of states at the Fermi level: 17.20 states/eV per cell

---

# LaTaTc2 (PBE, optimized geometry)
data_LaTaTc2
_cell_length_a 3.269
_cell_length_b 3.269
_cell_length_c 7.164
_cell_angle_alpha 90.00
_cell_angle_beta 90.00
_cell_angle_gamma 90.00
_symmetry_space_group_name_H-M 'P 4/m m m'
_symmetry_Int_Tables_number 123
_symmetry_space_group_name_Hall '-P 4 2'
loop_
_atom_site_label
_atom_site_type_symbol
_atom_site_fract_x
_atom_site_fract_y
_atom_site_fract_z
_atom_site_occupancy
La1 La 0.000 0.000 0.000 1
Ta1 Ta 0.000 0.000 0.500 1
Tc1 Tc 0.500 0.500 0.291 1
# electronic total energy: -9.34 eV per atom
# spin magnetization: 0.00 Bohr magnetons per cell
# density of states at the Fermi level: 5.07 states/eV per cell

---

# LaTaTc2 (PBE, optimized geometry)
data_LaTaTc2
_cell_length_a 3.044
_cell_length_b 4.137
_cell_length_c 6.647
_cell_angle_alpha 90.00
_cell_angle_beta 102.26
_cell_angle_gamma 90.00
_symmetry_space_group_name_H-M 'P 1 m 1'
_symmetry_Int_Tables_number 6
_symmetry_space_group_name_Hall 'P -2y'
loop_
_atom_site_label
_atom_site_type_symbol
_atom_site_fract_x
_atom_site_fract_y
_atom_site_fract_z
_atom_site_occupancy
La1 La 0.000 0.000 0.000 1
Ta1 Ta 0.618 0.500 0.346 1
Tc1 Tc 0.057 0.000 0.536 1
Tc2 Tc 0.483 0.500 0.701 1
# electronic total energy: -9.06 eV per atom
# spin magnetization: 0.00 Bohr magnetons per cell
# density of states at the Fermi level: 4.26 states/eV per cell

---

# La2TaTc (PBE, optimized geometry)
data_La2TaTc
_cell_length_a 3.472
_cell_length_b 5.064
_cell_length_c 5.098
_cell_angle_alpha 90.00
_cell_angle_beta 90.00
_cell_angle_gamma 90.00
_symmetry_space_group_name_H-M 'P m m m'
_symmetry_Int_Tables_number 47
_symmetry_space_group_name_Hall '-P 2 2'
loop_
_atom_site_label
_atom_site_type_symbol
_atom_site_fract_x
_atom_site_fract_y
_atom_site_fract_z
_atom_site_occupancy
La1 La 0.000 0.000 0.000 1
La2 La 0.500 0.000 0.500 1
Ta1 Ta 0.000 0.500 0.500 1
Tc1 Tc 0.500 0.500 0.000 1
# electronic total energy: -7.43 eV per atom
# spin magnetization: 0.00 Bohr magnetons per cell
# density of states at the Fermi level: 5.92 states/eV per cell

---

# LaTa2Tc (PBE, optimized geometry)
data_LaTa2Tc
_cell_length_a 3.265
_cell_length_b 4.975
_cell_length_c 9.806
_cell_angle_alpha 90.00
_cell_angle_beta 90.00
_cell_angle_gamma 90.00
_symmetry_space_group_name_H-M 'C m m 2'
_symmetry_Int_Tables_number 35
_symmetry_space_group_name_Hall 'C 2 -2'
loop_
_atom_site_label
_atom_site_type_symbol
_atom_site_fract_x
_atom_site_fract_y
_atom_site_fract_z
_atom_site_occupancy
La1 La 0.000 0.000 0.000 1
Ta1 Ta 0.000 0.000 0.538 1
Ta2 Ta 0.000 0.500 0.304 1
Tc1 Tc 0.000 0.500 0.744 1
# electronic total energy: -9.52 eV per atom
# spin magnetization: 0.00 Bohr magnetons per cell
# density of states at the Fermi level: 7.21 states/eV per cell

---

# La2TaTc (PBE, optimized geometry)
data_La2TaTc
_cell_length_a 8.450
_cell_length_b 8.450
_cell_length_c 5.707
_cell_angle_alpha 90.00
_cell_angle_beta 90.00
_cell_angle_gamma 90.00
_symmetry_space_group_name_H-M 'I -4 2 d'
_symmetry_Int_Tables_number 122
_symmetry_space_group_name_Hall 'I -4 2bw'
loop_
_atom_site_label
_atom_site_type_symbol
_atom_site_fract_x
_atom_site_fract_y
_atom_site_fract_z
_atom_site_occupancy
La1 La 0.191 0.750 0.125 1
Ta1 Ta 0.000 0.000 0.500 1
Tc1 Tc 0.000 0.000 0.000 1
# electronic total energy: -7.20 eV per atom
# spin magnetization: 0.00 Bohr magnetons per cell
# density of states at the Fermi level: 23.32 states/eV per cell

---

# La2TaTc (PBE, optimized geometry)
data_La2TaTc
_cell_length_a 5.225
_cell_length_b 5.225
_cell_length_c 3.492
_cell_angle_alpha 90.00
_cell_angle_beta 90.00
_cell_angle_gamma 90.00
_symmetry_space_group_name_H-M 'P 4/m m m'
_symmetry_Int_Tables_number 123
_symmetry_space_group_name_Hall '-P 4 2'
loop_
_atom_site_label
_atom_site_type_symbol
_atom_site_fract_x
_atom_site_fract_y
_atom_site_fract_z
_atom_site_occupancy
La1 La 0.000 0.500 0.000 1
Ta1 Ta 0.000 0.000 0.500 1
Tc1 Tc 0.500 0.500 0.500 1
# electronic total energy: -7.36 eV per atom
# spin magnetization: 0.00 Bohr magnetons per cell
# density of states at the Fermi level: 7.16 states/eV per cell

---

# La2TaTc (PBE, optimized geometry)
data_La2TaTc
_cell_length_a 7.024
_cell_length_b 8.240
_cell_length_c 4.281
_cell_angle_alpha 90.00
_cell_angle_beta 127.21
_cell_angle_gamma 90.00
_symmetry_space_group_name_H-M 'C 1 2 1'
_symmetry_Int_Tables_number 5
_symmetry_space_group_name_Hall 'C 2y'
loop_
_atom_site_label
_atom_site_type_symbol
_atom_site_fract_x
_atom_site_fract_y
_atom_site_fract_z
_atom_site_occupancy
La1 La 0.000 0.000 0.000 1
La2 La 0.000 0.300 0.500 1
Ta1 Ta 0.000 0.577 0.000 1
Tc1 Tc 0.000 0.739 0.500 1
# electronic total energy: -7.73 eV per atom
# spin magnetization: 0.00 Bohr magnetons per cell
# density of states at the Fermi level: 10.69 states/eV per cell

---

# La2TaTc (PBE, optimized geometry)
data_La2TaTc
_cell_length_a 4.111
_cell_length_b 4.111
_cell_length_c 10.740
_cell_angle_alpha 90.00
_cell_angle_beta 90.00
_cell_angle_gamma 90.00
_symmetry_space_group_name_H-M 'I 4/m m m'
_symmetry_Int_Tables_number 139
_symmetry_space_group_name_Hall '-I 4 2'
loop_
_atom_site_label
_atom_site_type_symbol
_atom_site_fract_x
_atom_site_fract_y
_atom_site_fract_z
_atom_site_occupancy
La1 La 0.000 0.500 0.250 1
Ta1 Ta 0.000 0.000 0.000 1
Tc1 Tc 0.000 0.000 0.500 1
# electronic total energy: -7.44 eV per atom
# spin magnetization: 0.00 Bohr magnetons per cell
# density of states at the Fermi level: 9.74 states/eV per cell

---

# La2TaTc (PBE, optimized geometry)
data_La2TaTc
_cell_length_a 3.204
_cell_length_b 4.941
_cell_length_c 5.816
_cell_angle_alpha 90.00
_cell_angle_beta 100.59
_cell_angle_gamma 90.00
_symmetry_space_group_name_H-M 'P 1 2/m 1'
_symmetry_Int_Tables_number 10
_symmetry_space_group_name_Hall '-P 2y'
loop_
_atom_site_label
_atom_site_type_symbol
_atom_site_fract_x
_atom_site_fract_y
_atom_site_fract_z
_atom_site_occupancy
La1 La 0.208 0.000 0.262 1
Ta1 Ta 0.500 0.500 0.000 1
Tc1 Tc 0.000 0.500 0.500 1
# electronic total energy: -7.44 eV per atom
# spin magnetization: 0.00 Bohr magnetons per cell
# density of states at the Fermi level: 5.08 states/eV per cell